Material: Ag3BiO
Method: DFT, PBE
State: optimized geometry

Cell lengths 4.602, 4.602, 4.602 Å; angles 90.00, 90.00, 90.00 degrees
Space group Pm-3m (No. 221)
Inequivalent atoms, fractional coordinates:
Ag 0.000 0.000 0.500 [3 per cell]
Bi 0.500 0.500 0.500 [1 per cell]
O 0.000 0.000 0.000 [1 per cell]

Output
**Density of states at the Fermi level**: 0.70 states/eV/atom
**Raw total energy**: -3.3685 eV per atom
**Formation energy without anion corrections**: 0.110 eV per atom
**Crystal system**: cubic

Material: Sc2InSe2
Method: DFT, PBE
State: optimized geometry

Cell lengths 7.919, 7.919, 3.409 Å; angles 90.00, 90.00, 90.00 degrees
Space group P4/mbm (No. 127)
Inequivalent atoms, fractional coordinates:
Sc 0.150 0.350 0.000 [4 per cell]
In 0.000 0.000 0.500 [2 per cell]
Se 0.141 0.641 0.500 [4 per cell]

Output
**Density of states at the Fermi level**: 1.09 states/eV/atom
**Raw total energy**: -5.4181 eV per atom
**Formation energy without anion corrections**: -0.944 eV per atom
**Crystal system**: tetragonal

Material: Cd3ReBi
Method: DFT, PBE
State: optimized geometry

Cell lengths 5.272, 5.272, 5.272 Å; angles 90.00, 90.00, 90.00 degrees
Space group Pm-3m (No. 221)
Inequivalent atoms, fractional coordinates:
Cd 0.000 0.000 0.500 [3 per cell]
Re 0.000 0.000 0.000 [1 per cell]
Bi 0.500 0.500 0.500 [1 per cell]

Output
**Density of states at the Fermi level**: 0.88 states/eV/atom
**Calculated formation energy**: 1029 meV/atom
**Raw total energy**: -2.7861 eV per atom
**Crystal system**: cubic

Material: TlGaPtO4
Method: DFT, PBE
State: optimized geometry

Cell lengths 6.459, 6.654, 9.041 Å; angles 90.00, 90.00, 90.00 degrees
Space group Imma (No. 74)
Inequivalent atoms, fractional coordinates:
Tl 0.000 0.250 0.128 [4 per cell]
Ga 0.250 0.250 0.750 [4 per cell]
Pt 0.000 0.000 0.500 [4 per cell]
O 0.000 0.052 0.728 [8 per cell]
O 0.198 0.250 0.522 [8 per cell]

Output
**Density of states at the Fermi level**: 0.07 states/eV/atom
**Raw total energy**: -5.3853 eV per atom
**Formation energy without anion corrections**: -0.919 eV per atom
**Crystal system**: orthorhombic

Material: CuH6Pd2Rh
Method: DFT, PBE
State: optimized geometry

Cell lengths 4.198, 4.354, 9.608 Å; angles 90.00, 114.79, 90.00 degrees
Space group P2_1/c (No. 14)
Inequivalent atoms, fractional coordinates:
Cu 0.000 0.000 0.000 [2 per cell]
H 0.128 0.225 0.387 [4 per cell]
H 0.158 0.745 0.384 [4 per cell]
H 0.392 0.713 0.135 [4 per cell]
Pd 0.246 0.033 0.753 [4 per cell]
Rh 0.500 0.000 0.500 [2 per cell]

Output
**Density of states at the Fermi level**: 0.28 states/eV/atom
**Raw total energy**: -4.1826 eV per atom
**Crystal system**: monoclinic

Material: PaCuBi2N
Method: DFT, PBE
State: optimized geometry

Cell lengths 3.956, 3.956, 14.642 Å; angles 90.00, 90.00, 90.00 degrees
Space group P4/nmm (No. 129, origin choice 2)
Inequivalent atoms, fractional coordinates:
Pa 0.250 0.250 0.079 [2 per cell]
Cu 0.250 0.250 0.608 [2 per cell]
Bi 0.250 0.250 0.421 [2 per cell]
Bi 0.250 0.250 0.788 [2 per cell]
N 0.250 0.750 0.000 [2 per cell]

Output
**Density of states at the Fermi level**: 0.39 states/eV/atom
**Raw total energy**: -6.5429 eV per atom
**Formation energy without anion corrections**: -0.607 eV per atom
**Crystal system**: tetragonal

Material: Sb2PIBr
Method: DFT, PBE
State: optimized geometry

Cell lengths 5.628, 5.628, 5.543 Å; angles 90.00, 90.00, 90.00 degrees
Space group P4/mmm (No. 123)
Inequivalent atoms, fractional coordinates:
Sb 0.000 0.500 0.000 [2 per cell]
P 0.000 0.000 0.500 [1 per cell]
I 0.500 0.500 0.500 [1 per cell]
Br 0.500 0.500 0.000 [1 per cell]

Output
**Density of states at the Fermi level**: 1.41 states/eV/atom
**Raw total energy**: -2.0532 eV per atom
**Formation energy without anion corrections**: 1.322 eV per atom
**Crystal system**: tetragonal

Material: BaAgRu2
Method: DFT, PBE
State: optimized geometry

Cell lengths 3.003, 3.623, 7.848 Å; angles 90.00, 90.08, 90.00 degrees
Space group Pm (No. 6)
Inequivalent atoms, fractional coordinates:
Ba 0.000 0.000 0.000 [1 per cell]
Ag 0.500 0.500 0.673 [1 per cell]
Ru 0.499 0.500 0.317 [1 per cell]
Ru 0.999 0.000 0.448 [1 per cell]

Output
**Density of states at the Fermi level**: 1.07 states/eV/atom
**Calculated formation energy**: 469 meV/atom
**Raw total energy**: -5.3625 eV per atom
**Crystal system**: monoclinic